Entry from the Alexandria database: a relaxed structure of Li2AgHg (GGA-PBEsol).

Summary:
- ΔH_f (0 K) (eV per atom) = -0.08
- theoretical density (g/cm³) = 7.2

Geometry as CIF:
```
data_Li2AgHg
_cell_length_a 3.979
_cell_length_b 3.979
_cell_length_c 18.860
_cell_angle_alpha 90.00
_cell_angle_beta 90.00
_cell_angle_gamma 90.00
_symmetry_space_group_name_H-M 'I -4 2 d'
_symmetry_Int_Tables_number 122
_symmetry_space_group_name_Hall 'I -4 2bw'
loop_
_atom_site_label
_atom_site_fract_x
_atom_site_fract_y
_atom_site_fract_z
Li1 0.248 0.250 0.125
Ag1 0.000 0.000 0.000
Hg1 0.000 0.000 0.500
```